# 1
{
  "formula": "Ta2Ru2S",
  "functional": "PBE-GGA",
  "state": "optimized geometry",
  "cell": [[7.454, 0.000, 0.000], [0.000, 7.454, 0.000], [0.000, 0.000, 3.039]],
  "species": ["Ta", "Ru", "Ta", "Ru", "S", "Ru", "Ru", "Ta", "S", "Ta"],
  "fractional_positions": [[0.344, 0.156, 0.500], [0.863, 0.637, 0.000], [0.844, 0.344, 0.500], [0.363, 0.863, 0.000], [0.500, 0.500, 0.000], [0.137, 0.363, 0.000], [0.637, 0.137, 0.000], [0.656, 0.844, 0.500], [0.000, 0.000, 0.000], [0.156, 0.656, 0.500]],
  "raw_formation_energy_ev_per_atom": 0.03,
  "volume_a3_per_atom": 16.89,
  "energy_ev_per_atom": -9.246,
  "polymorph_energy_mev_per_atom": 10,
  "dos_ef_per_ev_fu": 2.98,
  "crystal_system": "tetragonal"
}

***

# 2
{
  "formula": "TaRu2WS",
  "functional": "PBE-GGA",
  "state": "optimized geometry",
  "cell": [[4.667, 0.000, 0.000], [0.000, 4.956, 0.000], [0.000, 0.000, 4.667]],
  "species": ["Ru", "S", "Ta", "W", "Ru"],
  "fractional_positions": [[0.500, 0.000, 0.000], [0.500, 0.500, 0.500], [0.000, 0.500, 0.000], [0.000, 0.000, 0.000], [0.000, 0.000, 0.500]],
  "raw_formation_energy_ev_per_atom": 1.84,
  "volume_a3_per_atom": 21.59,
  "energy_ev_per_atom": -7.657,
  "dos_ef_per_ev_fu": 7.11,
  "crystal_system": "tetragonal"
}

***

# 3
{
  "formula": "TaZn2RuS",
  "functional": "PBE-GGA",
  "state": "optimized geometry",
  "cell": [[4.733, 0.000, 0.000], [0.000, 4.719, 0.000], [0.000, 0.000, 4.733]],
  "species": ["Ru", "Zn", "Zn", "Ta", "S"],
  "fractional_positions": [[0.000, 0.000, 0.000], [0.000, 0.000, 0.500], [0.500, 0.000, 0.000], [0.000, 0.500, 0.000], [0.500, 0.500, 0.500]],
  "raw_formation_energy_ev_per_atom": 0.77,
  "volume_a3_per_atom": 21.14,
  "energy_ev_per_atom": -4.793,
  "dos_ef_per_ev_fu": 3.16,
  "crystal_system": "tetragonal"
}

***

# 4
{
  "formula": "Tb2RuS",
  "functional": "PBE-GGA",
  "state": "optimized geometry",
  "cell": [[-2.730, -1.128, 1.698], [0.866, -3.211, -0.741], [3.841, -0.337, 5.950]],
  "species": ["S", "Tb", "Tb", "Ru"],
  "fractional_positions": [[0.500, 0.500, 0.500], [0.000, 0.000, 0.241], [0.000, 0.000, 0.759], [0.500, 0.500, 0.000]],
  "raw_formation_energy_ev_per_atom": -1.01,
  "volume_a3_per_atom": 20.58,
  "energy_ev_per_atom": -6.680,
  "polymorph_energy_mev_per_atom": 0,
  "dos_ef_per_ev_fu": 0.69,
  "crystal_system": "tetragonal"
}

***

> Number 3 is which compound?

TaZn2RuS